No. 1
Here is a relaxed Cs2KGe2 crystal from Alexandria via LeMat-Bulk. Energies are from GGA-PBE.

abc: 7.3948 7.3948 10.3998
angles: 101.29 101.29 58.07
Atoms (fractional coordinates):
Cs  0.0410  0.6720  0.8677
Cs  0.3280  0.9590  0.6323
Cs  0.6720  0.0410  0.3677
Cs  0.9590  0.3280  0.1323
K  0.3798  0.6202  0.2500
K  0.6202  0.3798  0.7500
Ge  0.1400  0.5316  0.5075
Ge  0.4684  0.8600  0.9925
Ge  0.5316  0.1400  0.0075
Ge  0.8600  0.4684  0.4925

Output
Energy of formation (eV/atom): -0.0512



No. 2
Here is a relaxed Cs2KGe2 crystal from Alexandria via LeMat-Bulk. Energies are from GGA-PBE.

abc: 8.0825 8.0825 8.0825
angles: 134.61 134.61 66.14
Atoms (fractional coordinates):
Cs  0.1336  0.1336  0.0000
Cs  0.8664  0.8664  0.0000
K  0.5000  0.5000  0.0000
Ge  0.2500  0.7500  0.5000
Ge  0.7500  0.2500  0.5000

Output
Energy of formation (eV/atom): 0.5639



Q: Which of these has the lowest energy of formation?
A: number 1



Repeat the second record exactly.
Here is a relaxed Cs2KGe2 crystal from Alexandria via LeMat-Bulk. Energies are from GGA-PBE.

abc: 8.0825 8.0825 8.0825
angles: 134.61 134.61 66.14
Atoms (fractional coordinates):
Cs  0.1336  0.1336  0.0000
Cs  0.8664  0.8664  0.0000
K  0.5000  0.5000  0.0000
Ge  0.2500  0.7500  0.5000
Ge  0.7500  0.2500  0.5000

Output
Energy of formation (eV/atom): 0.5639



Q: energy of formation of number 2 (Cs2KGe2)?
A: 0.5639 eV/atom